VASP calculation (PBE-GGA) on ZnMo2P2 after structural relaxation.

Computed properties:
- polymorph energy (0 for the lowest one) (meV per atom) = 0
- formation energy from the elements (eV per formula unit) = -1.079
- space-group type = P4/mbm

Unit cell a=6.883 b=6.883 c=3.112 alpha=90.00 beta=90.00 gamma=90.00
Fractional positions:
P1 0.145 0.645 0.500
P2 0.645 0.855 0.500
P3 0.855 0.355 0.500
P4 0.355 0.145 0.500
Mo1 0.354 0.854 0.000
Mo2 0.854 0.646 0.000
Mo3 0.646 0.146 0.000
Mo4 0.146 0.354 0.000
Zn1 0.000 0.000 0.000
Zn2 0.500 0.500 0.000